The following is a DFT calculation (PBEsol) of a geometry-optimized Ni2HgSe structure.

Values from the calculation:
Calculated volume   15.9 A^3/atom
Formation energy (no corrections)   5.7 kJ per mole of atoms
SG   Cm (8)
Uncorrected energy   -4.12 eV per atom

a = 4.270 Å, b = 4.270 Å, c = 5.344 Å
α = 98.51°, β = 98.51°, γ = 41.47°
Element x y z (fractional)
Ni1 0.000 0.000 0.000
Ni2 0.740 0.740 0.208
Hg1 0.493 0.493 0.471
Se1 0.275 0.275 0.886